No. 1
A plane-wave DFT calculation with PBE was carried out for an optimized crystal structure of Tb5Sc3Bi8.

The calculation puts the energy relative to the elements at -0.79 eV/atom. For the total energy, the calculation gives -5.361 eV/atom.

a = 8.8268 Å, b = 8.8268 Å, c = 8.8223 Å
α = 59.98°, β = 59.98°, γ = 60.00°
Closest atoms and distances in Å follow each position.
Element x y z (fractional)
Tb1 0.5000 0.5000 0.0000  6 Bi 3.19
Tb2 0.5000 0.0000 0.0000  6 Bi 3.19
Tb3 0.0000 0.0000 0.0000  6 Bi 3.12
Tb4 0.0000 0.5000 0.0000  6 Bi 3.19
Tb5 0.5000 0.5000 0.5000  6 Bi 3.12
Bi1 0.7500 0.2396 0.2604  2 Sc 3.06, 4 Tb 3.12-3.19
Bi2 0.7500 0.7500 0.2604  2 Sc 3.06, 4 Tb 3.12-3.19
Bi3 0.2448 0.2448 0.2656  3 Sc 3.06, 3 Tb 3.19
Bi4 0.2500 0.2500 0.7396  2 Sc 3.06, 4 Tb 3.12-3.19
Bi5 0.2396 0.7500 0.2604  2 Sc 3.06, 4 Tb 3.12-3.19
Bi6 0.7604 0.2500 0.7396  2 Sc 3.06, 4 Tb 3.12-3.19
Bi7 0.2500 0.7604 0.7396  2 Sc 3.06, 4 Tb 3.12-3.19
Bi8 0.7552 0.7552 0.7344  3 Sc 3.06, 3 Tb 3.19
Sc1 0.0000 0.5000 0.5000  6 Bi 3.06
Sc2 0.5000 0.0000 0.5000  6 Bi 3.06
Sc3 0.0000 0.0000 0.5000  6 Bi 3.06


No. 2
A plane-wave DFT calculation with PBE was carried out for an optimized crystal structure of Zn2CuCl.

For the excess energy over the best structure of this formula in the dataset, the calculation gives 0 meV per atom. The formation energy from raw total energies comes out at -0.103 eV/atom. For the total energy, the calculation gives -2.226 eV/atom.

a = 7.7161 Å, b = 7.7161 Å, c = 7.7161 Å
α = 24.05°, β = 24.05°, γ = 24.05°
Closest atoms and distances in Å follow each position.
Element x y z (fractional)
Cl1 0.2500 0.2500 0.2500  6 Zn 2.71
Cu1 0.7500 0.7500 0.7500  6 Zn 2.56
Zn1 0.4953 0.4953 0.4953  3 Cu 2.56, 3 Cl 2.71
Zn2 0.0047 0.0047 0.0047  3 Cu 2.56, 3 Cl 2.71


What is the formula in the second record?
Zn2CuCl


Which formula does entry 1 have?
Tb5Sc3Bi8